No. 1
Below is a relaxed DyMnMoC3 crystal, with properties calculated at the PBE level.

```
12
Lattice="6.6781 0.0000 0.0000 0.0000 3.2711 0.0000 -1.6652 0.0000 7.1173" Properties=species:S:1:pos:R:3 pbc="T T T"
Dy 0.8690 0.8178 1.4116
Dy 4.1438 2.4533 5.7057
Mn -0.2749 0.8178 4.2995
Mn 5.2878 2.4533 2.8178
Mo 0.9080 2.4533 6.1816
Mo 4.1049 0.8178 0.9357
C -0.6280 0.8178 6.0988
C 0.3160 2.4533 3.7117
C 2.6884 2.4533 1.1318
C 2.3245 0.8178 5.9855
C 4.6969 0.8178 3.4056
C 5.6409 2.4533 1.0185
```

No. 2
Below is a relaxed La7Pr3Nd2 crystal, with properties calculated at the PBE level.

```
12
Lattice="6.0996 0.0000 0.0000 0.0000 3.6709 0.0000 -1.1404 0.0000 19.6155" Properties=species:S:1:pos:R:3 pbc="T T T"
La 0.0000 0.0000 0.0000
La 0.9195 1.8355 3.5197
La 0.9502 1.8355 10.4843
La 0.9653 0.0000 16.7601
La 3.9939 0.0000 2.8554
La 4.0089 1.8355 9.1312
La 4.0397 1.8355 16.0958
Pr 0.9341 0.0000 7.1564
Pr 3.0498 1.8355 0.0000
Pr 4.0251 0.0000 12.4591
Nd 0.9627 1.8355 13.7979
Nd 3.9965 1.8355 5.8176
```

Results
As for the energy above the most stable polymorph in this dataset: 0.016 eV per atom.

No. 3
Below is a relaxed Ho8Co2Ge crystal, with properties calculated at the PBE level.

```
11
Lattice="4.1193 -6.2294 0.0000 4.1193 6.2294 0.0000 -1.5559 0.0000 5.5358" Properties=species:S:1:pos:R:3 pbc="T T T"
Ho 0.0000 0.0000 0.0000
Ho 0.4991 1.6523 3.3936
Ho 2.8286 2.8754 1.1404
Ho 0.4991 -1.6523 3.3936
Ho 3.5640 1.6843 4.5064
Ho 2.8286 -2.8754 1.1404
Ho 3.5640 -1.6843 4.5064
Ho 5.5331 0.0000 2.1958
Co 2.0446 3.8694 3.8827
Co 2.0446 -3.8694 3.8827
Ge 2.9884 0.0000 0.3932
```

No. 4
Below is a relaxed Cs2AgF7 crystal, with properties calculated at the PBE level.

```
20
Lattice="7.4855 -3.7097 0.0000 7.4855 3.7097 0.0000 -7.2910 0.0000 7.5532" Properties=species:S:1:pos:R:3 pbc="T T T"
Cs 1.9513 0.6460 0.6771
Cs -1.6942 -0.6460 4.4537
Cs 9.3742 0.6460 3.0995
Cs 5.7287 -0.6460 6.8761
Ag 2.0173 0.6990 5.6649
Ag 5.6628 -0.6990 1.8883
F 2.0173 2.7990 5.6649
F 4.6643 1.6814 1.8903
F 1.3761 0.6613 3.8050
F 0.1570 0.8175 6.2730
F 6.6613 1.6814 1.8863
F 5.0216 -0.6613 0.0284
F 3.8776 0.8175 5.0568
F 3.8025 -0.8175 2.4964
F 2.6584 0.6613 7.5248
F 1.0188 -1.6814 5.6669
F 7.5231 -0.8175 1.2802
F 6.3039 -0.6613 3.7482
F 3.0158 -1.6814 5.6629
F 5.6628 -2.7990 1.8883
```

Results
The raw formation energy comes out at -152 kJ per mole of atoms.

No. 5
Below is a relaxed SmAlCu crystal, with properties calculated at the PBE level.

```
6
Lattice="-2.7626 2.7656 3.7828 2.7626 -2.7656 3.7828 2.7626 2.7656 -3.7828" Properties=species:S:1:pos:R:3 pbc="T T T"
Sm 0.0000 1.3828 0.9724
Sm 2.7626 1.3828 2.8104
Al 1.3813 1.3828 -1.8914
Al 1.3813 -1.3828 1.8914
Cu 2.7626 0.0000 0.0000
Cu 0.0000 0.0000 3.7828
```

No. 6
Below is a relaxed Zr2As2W crystal, with properties calculated at the PBE level.

```
10
Lattice="6.9514 0.0000 0.0000 0.0000 6.9514 0.0000 0.0000 0.0000 3.7534" Properties=species:S:1:pos:R:3 pbc="T T T"
Zr 1.1031 2.3726 0.0000
Zr 2.3726 5.8483 0.0000
Zr 4.5788 1.1031 0.0000
Zr 5.8483 4.5788 0.0000
As 1.0257 4.5014 1.8767
As 2.4500 1.0257 1.8767
As 4.5014 5.9257 1.8767
As 5.9257 2.4500 1.8767
W 0.0000 0.0000 1.8767
W 3.4757 3.4757 1.8767
```

Results
As for the energy above the most stable polymorph in this dataset: 0.000 eV per atom.

No. 7
Below is a relaxed Ac8NiOs3I3 crystal, with properties calculated at the PBE level.

```
15
Lattice="4.3695 2.5227 8.7098 -4.3695 2.5227 8.7098 0.0000 -5.0455 8.7098" Properties=species:S:1:pos:R:3 pbc="T T T"
Ac -2.2106 -1.2763 14.6162
Ac 0.0000 0.0000 5.9580
Ac 0.0000 -2.5525 11.5133
Ac -2.2106 1.2763 11.5133
Ac 2.2105 -1.2763 14.6162
Ac 0.0000 2.5525 14.6162
Ac 0.0000 0.0000 20.1715
Ac 2.2105 1.2763 11.5133
Ni 0.0000 0.0000 13.0647
Os -4.3695 0.0000 13.0647
Os -2.1848 1.2614 4.3549
Os 2.1848 1.2614 4.3549
I -2.1848 -1.2614 8.7098
I -2.1848 1.2614 17.4196
I 0.0000 2.5227 8.7098
```

Results
The raw formation energy comes out at -48 kJ per mole of atoms.

No. 8
Below is a relaxed Ac3P2N6 crystal, with properties calculated at the PBE level.

```
11
Lattice="3.4431 -2.8829 0.0000 3.4431 2.8829 0.0000 -0.7384 0.0000 10.2768" Properties=species:S:1:pos:R:3 pbc="T T T"
Ac 0.0000 0.0000 0.0000
Ac 1.6510 0.0000 3.6857
Ac 4.4968 0.0000 6.5911
P 1.5941 0.0000 7.9592
P 4.5537 0.0000 2.3176
N 1.1959 1.3741 8.6410
N 1.8771 0.0000 6.3471
N 4.9519 1.3741 1.6358
N 1.1959 -1.3741 8.6410
N 4.2708 0.0000 3.9297
N 4.9519 -1.3741 1.6358
```

Results
The raw formation energy comes out at -92 kJ per mole of atoms.

Values of electronic total energy, in order: -51.99; -57.50; -57.31; -33.37; -13.62; -42.30; -84.52; -83.54, all in eV per formula unit.